Ce2AlSn: relaxed, PBE-GGA.

Cell lengths 4.094, 4.094, 6.160 Å; angles 90.00, 90.00, 90.00 degrees
Positions (direct):
Ce 0.000 0.000 0.732
Ce 0.000 0.000 0.268
Al 0.500 0.500 0.500
Sn 0.500 0.500 0.000

**Energy of formation**: -0.430 eV per atom
**Uncorrected energy**: -21.33 eV for the cell shown
**DOS(E_F)**: 9.21 states/eV/f.u.